Record 1
A plane-wave DFT calculation with GGA-PBE was carried out for a geometry-optimized Pr4CuNiI2 structure.

Summary:
Uncorrected energy (eV/f.u.): -36.7
Magnetic moment (μB per formula unit): 0.000
N(E_F) (states/eV/atom): 1.032
ΔE_f (raw) (eV per atom): -0.572

Unit cell a=4.304 b=7.193 c=8.396 alpha=106.83 beta=90.00 gamma=90.00
Fractional coordinates of all 8 atoms:
Pr  0.500  0.230  0.189
Pr  0.500  0.770  0.811
Pr  0.000  0.251  0.810
Pr  0.000  0.749  0.190
Cu  0.500  0.500  0.000
Ni  0.000  0.000  0.000
I  0.500  0.000  0.500
I  0.000  0.500  0.500



Record 2
A plane-wave DFT calculation with GGA-PBE was carried out for a geometry-optimized Pr6CuNi2I3 structure.

Summary:
Uncorrected energy (eV/f.u.): -56.2
Magnetic moment (μB per formula unit): 0.000
N(E_F) (states/eV/atom): 0.851
ΔE_f (raw) (eV per atom): -0.603

Unit cell a=7.304 b=7.304 c=8.432 alpha=98.32 beta=98.32 gamma=119.95
Fractional coordinates of all 12 atoms:
Pr  0.937  0.591  0.813
Pr  0.715  0.715  0.185
Pr  0.063  0.409  0.187
Pr  0.591  0.937  0.813
Pr  0.285  0.285  0.815
Pr  0.409  0.063  0.187
Cu  0.000  0.000  0.000
Ni  0.333  0.667  0.000
Ni  0.667  0.333  0.000
I  0.165  0.835  0.500
I  0.835  0.165  0.500
I  0.500  0.500  0.500



Which value of N(E_F) does entry 2 give? 0.851 states/eV/atom